Run P
VASP calculation (PBE) on an optimized crystal structure of Tl2ZnCl4.

Cell and atoms, written as extended XYZ:
```
14
Lattice="7.0871 0.0000 -0.1751 0.0000 7.2131 0.0000 -2.8032 0.0000 8.6760" Properties=species:S:1:pos:R:3 pbc="T T T"
Tl 4.8946 5.4098 0.2244
Tl -0.6107 1.8033 8.2765
Tl 0.3598 1.8033 3.6755
Tl 3.9241 5.4098 4.8254
Zn 1.3922 5.4098 1.7715
Zn 2.8917 1.8033 6.7294
Cl 2.7284 3.6133 2.2894
Cl -1.8822 5.4098 8.2116
Cl 6.1660 1.8033 0.2893
Cl 2.7284 7.2064 2.2894
Cl 4.7696 1.8033 5.4396
Cl 1.5554 0.0068 6.2115
Cl 1.5554 3.5998 6.2115
Cl -0.4858 5.4098 3.0613
```

Output
Theoretical density in g/cm³: 4.65

Run Q
VASP calculation (PBE) on an optimized crystal structure of Tl2ZnCl4.

Cell and atoms, written as extended XYZ:
```
7
Lattice="5.0510 0.0000 0.0000 0.0000 5.0510 0.0000 2.5255 2.5255 7.8382" Properties=species:S:1:pos:R:3 pbc="T T T"
Tl 2.5255 2.5255 2.1851
Tl 5.0510 5.0510 5.6531
Zn 0.0000 0.0000 0.0000
Cl 2.5255 2.5255 5.4350
Cl 5.0510 5.0510 2.4032
Cl 0.0000 2.5255 0.0000
Cl 2.5255 0.0000 0.0000
```

Output
Theoretical density in g/cm³: 5.12

It is run P that is most stable; the runner-up trails by 0.070 eV/atom.